A relaxed structure of Tl3SnPb6. Source: Alexandria via LeMat-Bulk, functional PBE-GGA.

Summary:
* DFT formation energy: 0.084 eV per atom
* space-group type: P-31m

POSCAR file:
```
Tl3SnPb6
1.0
6.4900 0.0000 0.0000
-3.2450 5.6205 0.0000
0.0000 0.0000 8.9118
Pb Tl Sn
6 3 1
Cartesian
-1.3366 2.3151 7.2589 Pb
1.9084 3.3054 7.2589 Pb
2.6732 0.0000 7.2589 Pb
3.8168 0.0000 1.6529 Pb
1.3366 2.3151 1.6529 Pb
-1.9084 3.3054 1.6529 Pb
0.0000 3.7470 4.4559 Tl
3.2450 1.8735 4.4559 Tl
0.0000 0.0000 4.4559 Tl
0.0000 0.0000 0.0000 Sn
```

=====

A relaxed structure of Tl6SnPb. Source: Alexandria via LeMat-Bulk, functional PBE-GGA.

Summary:
* DFT formation energy: 0.351 eV per atom
* space-group type: R-3m

POSCAR file:
```
Tl6SnPb
1.0
-8.8643 2.3982 -1.3706
0.9191 -6.6914 3.3133
-4.0869 0.4754 6.2983
Tl Sn Pb
6 1 1
Cartesian
-6.5490 -0.6452 4.7622 Tl
-5.4831 -3.1726 3.4789 Tl
-10.4188 2.3822 3.1890 Tl
-0.6395 -4.2893 2.0975 Tl
-7.3057 -0.0039 -0.1548 Tl
-2.5323 0.4914 1.7388 Tl
0.0000 0.0000 0.0000 Sn
-4.4321 1.1991 -0.6853 Pb
```

=====

A relaxed structure of Tl2Sn2Pb. Source: Alexandria via LeMat-Bulk, functional PBE-GGA.

Summary:
* DFT formation energy: 0.047 eV per atom
* space-group type: C2/m

POSCAR file:
```
Tl2Sn2Pb
1.0
3.1145 -0.2230 -1.2072
-0.2289 5.7141 -1.6461
-1.9658 -0.4072 9.6164
Sn Pb Tl
2 1 2
Cartesian
1.2097 4.6540 5.2306 Sn
-0.2899 0.4299 1.5325 Sn
1.4428 2.7456 -1.4267 Pb
-0.1453 1.3867 4.8339 Tl
1.0651 3.6972 1.9292 Tl
```

=====

A relaxed structure of Tl6Sn12Pb. Source: Alexandria via LeMat-Bulk, functional PBE-GGA.

Summary:
* DFT formation energy: 0.070 eV per atom
* space-group type: R-3

POSCAR file:
```
Tl6Sn12Pb
1.0
-0.0171 -8.4399 -1.0428
6.6483 1.1332 5.1803
-6.5725 1.1486 5.2728
Sn Tl Pb
12 6 1
Cartesian
-1.6201 -0.1602 8.8592 Sn
4.9537 -4.8596 5.7429 Sn
-4.8950 -1.2986 3.6674 Sn
0.0084 -5.9641 3.4007 Sn
3.2750 1.1295 5.2054 Sn
2.7528 -2.0468 5.9471 Sn
1.6788 -5.9979 0.5511 Sn
2.7242 -4.1299 3.4172 Sn
0.0503 -0.1940 6.0096 Sn
-3.2163 -7.2876 4.2049 Sn
-2.6941 -4.1113 3.4632 Sn
-2.6655 -2.0283 5.9931 Sn
-1.6952 -0.7166 2.9360 Tl
1.7539 -5.4415 6.4743 Tl
-0.0032 -3.2162 1.2897 Tl
-1.6842 -5.4253 6.5063 Tl
1.7428 -0.7329 2.9040 Tl
0.0619 -2.9419 8.1206 Tl
0.0000 0.0000 0.0000 Pb
```

=====

A relaxed structure of TlSn4Pb7. Source: Alexandria via LeMat-Bulk, functional PBE-GGA.

Summary:
* DFT formation energy: 0.044 eV per atom
* space-group type: P-3m1

POSCAR file:
```
TlSn4Pb7
1.0
5.5962 0.0000 0.0000
-2.7981 4.8464 0.0000
0.0000 0.0000 13.3797
Sn Pb Tl
4 7 1
Cartesian
0.0000 3.2309 11.8108 Sn
0.0000 3.2309 8.6362 Sn
2.7981 1.6155 1.5689 Sn
2.7981 1.6155 4.7436 Sn
2.7981 1.6155 8.1618 Pb
0.0000 3.2309 5.2179 Pb
2.7981 1.6155 11.6325 Pb
0.0000 0.0000 10.0323 Pb
0.0000 0.0000 0.0000 Pb
0.0000 0.0000 3.3474 Pb
0.0000 3.2309 1.7472 Pb
0.0000 0.0000 6.6899 Tl
```

=====

A relaxed structure of TlSnPb. Source: Alexandria via LeMat-Bulk, functional PBE-GGA.

Summary:
* DFT formation energy: 0.019 eV per atom
* space-group type: P-1

POSCAR file:
```
TlSnPb
1.0
-4.7586 -1.4667 0.7337
1.5099 -3.7651 2.2556
4.0459 7.3070 4.8508
Tl Pb Sn
2 2 2
Cartesian
-0.1823 -0.8969 4.1843 Tl
1.4496 1.7813 2.7859 Tl
-2.5431 -2.9261 2.3225 Pb
-0.9460 2.3444 5.3816 Pb
2.1687 1.2333 6.2143 Sn
-0.8991 -0.3482 0.7553 Sn
```

=====

Record order is preserved below.
Ρ: 10.1 6.8 9.2 8.4 9.7 9.7 g cm⁻³